1.
{"formula": "CdInSe3", "functional": "PBE-GGA", "state": "relaxed", "lattice": [[5.310, 0.000, 0.000], [0.000, 5.310, 0.000], [0.000, 0.000, 5.310]], "species": ["In", "Se", "Se", "Se", "Cd"], "fractional_positions": [[0.500, 0.500, 0.500], [0.500, 0.000, 0.000], [0.000, 0.500, 0.000], [0.000, 0.000, 0.500], [0.000, 0.000, 0.000]], "vol_a3_per_atom": 29.94, "dft_energy_ev_per_atom": -2.546, "magmom_total_mub_per_fu": 0.00, "relative_energy_ev_per_atom": 0.686, "formation_energy_uncorrected_ev_per_atom": 0.28, "space_group": "Pm-3m, No. 221"}

=====

2.
{"formula": "Be2MoI8", "functional": "PBE-GGA", "state": "relaxed", "lattice": [[-4.314, 4.925, 0.331], [-5.024, -3.714, -5.883], [-5.859, -5.087, 3.665]], "species": ["I", "I", "I", "I", "I", "Mo", "Be", "Be", "I", "I", "I"], "fractional_positions": [[0.715, 0.672, 0.672], [0.751, 0.116, 0.724], [0.242, 0.832, 0.832], [0.249, 0.884, 0.276], [0.751, 0.724, 0.116], [0.000, 0.000, 0.000], [0.616, 0.831, 0.831], [0.384, 0.169, 0.169], [0.249, 0.276, 0.884], [0.758, 0.168, 0.168], [0.285, 0.328, 0.328]], "vol_a3_per_atom": 40.86, "dft_energy_ev_per_atom": -3.106, "magmom_total_mub_per_fu": 1.96, "formation_energy_uncorrected_ev_per_atom": -0.32, "space_group": "C2/m, No. 12"}

=====

3.
{"formula": "LiCl3", "functional": "PBE-GGA", "state": "relaxed", "lattice": [[7.220, -0.013, -0.008], [6.200, 3.700, -0.008], [6.200, 1.703, 3.284]], "species": ["Li", "Cl", "Cl", "Cl"], "fractional_positions": [[0.000, 0.000, 0.000], [0.500, 0.500, 0.500], [0.272, 0.272, 0.272], [0.728, 0.728, 0.728]], "vol_a3_per_atom": 22.04, "dft_energy_ev_per_atom": -2.297, "magmom_total_mub_per_fu": 2.04, "relative_energy_ev_per_atom": 0.432, "formation_energy_uncorrected_ev_per_atom": -0.43, "space_group": "R-3m, No. 166"}

=====

4.
{"formula": "AcNdMgAu", "functional": "PBE-GGA", "state": "relaxed", "lattice": [[5.521, 0.000, 0.000], [2.760, 4.781, 0.000], [2.760, 1.594, 4.508]], "species": ["Mg", "Ac", "Au", "Nd"], "fractional_positions": [[0.500, 0.500, 0.500], [0.750, 0.750, 0.750], [0.000, 0.000, 0.000], [0.250, 0.250, 0.250]], "vol_a3_per_atom": 29.75, "dft_energy_ev_per_atom": -3.771, "magmom_total_mub_per_fu": 0.00, "space_group": "F-43m, No. 216", "formation_enthalpy_0k_mev_per_atom": -334}

=====

5.
{"formula": "LiTb3Zn2", "functional": "PBE-GGA", "state": "relaxed", "lattice": [[-1.767, 2.980, 1.056], [-2.151, -0.247, -2.904], [-6.985, -6.160, 5.697]], "species": ["Tb", "Tb", "Li", "Tb", "Zn", "Zn"], "fractional_positions": [[0.000, 0.000, 0.318], [0.000, 0.000, 0.682], [0.500, 0.500, 0.500], [0.000, 0.000, 0.000], [0.500, 0.500, 0.164], [0.500, 0.500, 0.836]], "vol_a3_per_atom": 23.88, "dft_energy_ev_per_atom": -3.260, "magmom_total_mub_per_fu": 0.00, "space_group": "P4/mmm, No. 123", "formation_enthalpy_0k_mev_per_atom": -201}

=====

6.
{"formula": "HoRh2O6", "functional": "PBE-GGA", "state": "relaxed", "lattice": [[-1.496, -3.930, 2.702], [3.997, -3.046, -2.216], [0.936, 2.820, 4.619]], "species": ["O", "Rh", "O", "Rh", "Ho", "O", "O", "O", "O"], "fractional_positions": [[0.299, 0.000, 0.365], [0.500, 0.667, 0.333], [0.701, 0.635, 0.000], [0.500, 0.333, 0.667], [0.500, 0.000, 0.000], [0.299, 0.365, 0.000], [0.701, 0.365, 0.365], [0.701, 0.000, 0.635], [0.299, 0.635, 0.635]], "vol_a3_per_atom": 14.51, "dft_energy_ev_per_atom": -6.749, "magmom_total_mub_per_fu": 3.02, "formation_energy_uncorrected_ev_per_atom": -1.30, "space_group": "P-31m, No. 162"}

=====

7.
{"formula": "BeTlW2", "functional": "PBE-GGA", "state": "relaxed", "lattice": [[5.143, 0.000, 0.000], [-2.314, 4.593, 0.000], [0.000, 0.000, 2.795]], "species": ["Tl", "Be", "W", "W"], "fractional_positions": [[0.000, 0.500, 0.500], [0.500, 0.000, 0.500], [0.500, 0.500, 0.000], [0.000, 0.000, 0.000]], "vol_a3_per_atom": 16.51, "dft_energy_ev_per_atom": -7.012, "magmom_total_mub_per_fu": 0.00, "relative_energy_ev_per_atom": 0.466, "space_group": "Cmmm, No. 65", "formation_enthalpy_0k_mev_per_atom": 987}

=====

8.
{"formula": "KMg2Mo", "functional": "PBE-GGA", "state": "relaxed", "lattice": [[-1.725, 1.892, 1.362], [-1.500, -2.440, 0.453], [5.592, -1.688, 9.427]], "species": ["Mg", "Mg", "K", "Mo"], "fractional_positions": [[0.500, 0.500, 0.270], [0.000, 0.000, 0.035], [0.500, 0.500, 0.732], [0.000, 0.000, 0.463]], "vol_a3_per_atom": 22.99, "dft_energy_ev_per_atom": -3.118, "magmom_total_mub_per_fu": 0.00, "relative_energy_ev_per_atom": 0.126, "space_group": "Cmm2, No. 35", "formation_enthalpy_0k_mev_per_atom": 661}

=====

9.
{"formula": "Sm2Er2In", "functional": "PBE-GGA", "state": "relaxed", "lattice": [[4.350, 0.000, 0.000], [0.000, 4.350, 0.000], [-2.175, -2.175, 8.656]], "species": ["Sm", "Sm", "Er", "Er", "In"], "fractional_positions": [[0.250, 0.750, 0.500], [0.750, 0.250, 0.500], [0.588, 0.588, 0.176], [0.412, 0.412, 0.824], [0.000, 0.000, 0.000]], "vol_a3_per_atom": 32.76, "dft_energy_ev_per_atom": -3.936, "magmom_total_mub_per_fu": 0.00, "relative_energy_ev_per_atom": 0.366, "space_group": "I4/mmm, No. 139", "formation_enthalpy_0k_mev_per_atom": 325}

=====

10.
{"formula": "Dy4Tm5Mg2", "functional": "PBE-GGA", "state": "relaxed", "lattice": [[-2.027, -2.331, 1.547], [11.608, -4.320, 0.990], [-7.682, 11.581, 3.546]], "species": ["Dy", "Tm", "Dy", "Tm", "Dy", "Mg", "Mg", "Tm", "Tm", "Tm", "Dy"], "fractional_positions": [[0.423, 0.554, 0.735], [0.638, 0.883, 0.512], [0.629, 0.186, 0.891], [0.451, 0.268, 0.366], [0.371, 0.814, 0.109], [0.720, 0.633, 0.176], [0.280, 0.367, 0.824], [0.362, 0.117, 0.488], [0.549, 0.732, 0.634], [0.500, 0.000, 0.000], [0.577, 0.446, 0.265]], "vol_a3_per_atom": 29.51, "dft_energy_ev_per_atom": -3.979, "magmom_total_mub_per_fu": 0.00, "relative_energy_ev_per_atom": 0.000, "space_group": "P-1, No. 2", "formation_enthalpy_0k_mev_per_atom": 17}

=====

11.
{"formula": "YInTc2", "functional": "PBE-GGA", "state": "relaxed", "lattice": [[-1.715, -3.462, -1.928], [-1.084, -1.104, 2.946], [-5.331, 2.229, 0.740]], "species": ["In", "Y", "Tc", "Tc"], "fractional_positions": [[0.500, 0.792, 0.791], [0.000, 0.450, 0.471], [0.000, 0.185, 0.015], [0.500, 0.072, 0.223]], "vol_a3_per_atom": 20.06, "dft_energy_ev_per_atom": -7.380, "magmom_total_mub_per_fu": 0.00, "space_group": "Pm, No. 6", "formation_enthalpy_0k_mev_per_atom": 103}

=====

12.
{"formula": "BeAlTl3", "functional": "PBE-GGA", "state": "relaxed", "lattice": [[-0.658, -5.015, -0.302], [1.988, -0.539, 4.630], [-4.614, 0.482, 2.037]], "species": ["Tl", "Be", "Al", "Tl", "Tl"], "fractional_positions": [[0.000, 0.000, 0.500], [0.000, 0.000, 0.000], [0.500, 0.500, 0.500], [0.000, 0.500, 0.000], [0.500, 0.000, 0.000]], "vol_a3_per_atom": 26.02, "dft_energy_ev_per_atom": -2.423, "magmom_total_mub_per_fu": 0.00, "space_group": "Pm-3m, No. 221", "formation_enthalpy_0k_mev_per_atom": 491}

=====

13.
{"formula": "SiSnGe2", "functional": "PBE-GGA", "state": "relaxed", "lattice": [[0.000, 3.448, 3.448], [3.448, 0.000, 3.448], [3.448, 3.448, 0.000]], "species": ["Ge", "Ge", "Si", "Sn"], "fractional_positions": [[0.250, 0.250, 0.250], [0.750, 0.750, 0.750], [0.000, 0.000, 0.000], [0.500, 0.500, 0.500]], "vol_a3_per_atom": 20.49, "dft_energy_ev_per_atom": -4.221, "magmom_total_mub_per_fu": 0.00, "relative_energy_ev_per_atom": 0.405, "formation_energy_uncorrected_ev_per_atom": 0.44, "space_group": "Fm-3m, No. 225"}

=====

14.
{"formula": "CaTiRe2", "functional": "PBE-GGA", "state": "relaxed", "lattice": [[1.440, -0.654, 4.309], [-2.905, -1.599, 3.173], [0.501, -4.261, 1.630]], "species": ["Re", "Ti", "Ca", "Re"], "fractional_positions": [[0.750, 0.750, 0.750], [0.500, 0.500, 0.500], [0.000, 0.000, 0.000], [0.250, 0.250, 0.250]], "vol_a3_per_atom": 17.09, "dft_energy_ev_per_atom": -8.053, "magmom_total_mub_per_fu": 0.00, "relative_energy_ev_per_atom": 0.000, "space_group": "Fm-3m, No. 225", "formation_enthalpy_0k_mev_per_atom": 645}